(1)
Li2Zr2O5: relaxed, PBE.

The structure in POSCAR format:
```
Li2Zr2O5
1.0
6.4458 0.0000 0.0000
0.0000 3.5669 0.0000
0.0000 0.0000 3.5669
Li Zr O
2 2 5
Cartesian
1.4896 1.7835 1.7835
4.9562 1.7835 1.7835
0.0000 0.0000 0.0000
3.2229 0.0000 0.0000
1.3197 1.7835 0.0000
5.1262 0.0000 1.7835
5.1262 1.7835 0.0000
3.2229 1.7835 1.7835
1.3197 0.0000 1.7835
```

Output
- ΔE to the lowest computed polymorph (meV per atom) = 340
- raw total energy (eV per atom) = -7.31
- crystal system = tetragonal
- size of the total moment (μB per formula unit) = 0.00
- space group = No. 123

(2)
Nd2In2Pd3Pt: relaxed, PBE.

The structure in POSCAR format:
```
Nd2In2Pd3Pt
1.0
-0.9259 2.1846 4.0005
1.7941 -4.2909 0.0545
8.4930 3.5515 0.0263
Nd Pd Pt In
2 3 1 2
Cartesian
7.2710 0.5370 1.3896
2.0872 0.8728 0.0065
4.4367 -0.6482 1.3808
7.7563 3.2434 0.0240
4.9595 2.0739 0.0154
1.6112 -1.8297 1.3721
-0.0075 0.0310 2.6852
4.2350 1.8050 2.6984
```

Output
- raw total energy (eV per atom) = -5.40
- crystal system = trigonal
- size of the total moment (μB per formula unit) = 0.00
- space group = No. 156